Entry one
Entry from Alexandria via LeMat-Bulk: a geometry-optimized ZrPtI3 structure (GGA-PBE).

The calculation puts the total magnetization at 0.0626 μB/atom.

It has space group Pm-3m (No. 221), with a = 5.650 Å, b = 5.650 Å, c = 5.650 Å, α = 90.00°, β = 90.00° and γ = 90.00°. The asymmetric unit holds Zr at (0.000, 0.000, 0.000), Pt at (0.500, 0.500, 0.500) and I at (0.000, 0.000, 0.500).

=====

Entry two
Entry from Alexandria via LeMat-Bulk: a geometry-optimized ZrPtI3 structure (GGA-PBE).

The calculation puts the total magnetization at 0.4556 μB/atom.

It has space group Pm-3m (No. 221), with a = 5.439 Å, b = 5.439 Å, c = 5.439 Å, α = 90.00°, β = 90.00° and γ = 90.00°. The asymmetric unit holds Zr at (0.000, 0.000, 0.000), Pt at (0.500, 0.500, 0.500) and I at (0.000, 0.500, 0.500).

=====

Q: Which of them is the least stable? A: entry two.

=====

Entry one
Entry from Alexandria via LeMat-Bulk: a geometry-optimized Rb2PuI5 structure (GGA-PBE).

The calculation puts the total magnetization at 0.6250 μB/atom.

It has space group I4mm (No. 107), with a = 9.046 Å, b = 9.046 Å, c = 10.586 Å, α = 90.00°, β = 90.00° and γ = 90.00°. The asymmetric unit holds Rb at (0.000, 0.500, 0.000), Pu at (0.000, 0.000, 0.265), I at (0.000, 0.000, 0.538) and I at (0.238, 0.238, 0.236).

=====

Entry two
Entry from Alexandria via LeMat-Bulk: a geometry-optimized Rb2PuI5 structure (GGA-PBE).

The calculation puts the total magnetization at 0.6250 μB/atom.

It has space group Pnma (No. 62), with a = 15.053 Å, b = 10.023 Å, c = 9.435 Å, α = 90.00°, β = 90.00° and γ = 90.00°. The asymmetric unit holds Rb at (0.170, 0.006, 0.068), Pu at (0.002, 0.250, 0.565), I at (0.009, 0.250, 0.912), I at (0.072, 0.543, 0.665), I at (0.181, 0.250, 0.388) and I at (0.200, 0.750, 0.350).

=====

Q: Which of them is the least stable? A: entry one.